(1)
Fe14SiW: optimized geometry, PBE.

Its total DFT energy (no corrections) is -275.3 eV/cell.

The space group is Cmmm (No. 65) and the conventional cell measures 5.720, 8.058 and 8.066 Å, with angles of 90.00, 90.00 and 90.00 degrees. The inequivalent atoms are Fe at (0.000, 0.000, 0.000), Fe at (0.000, 0.250, 0.248), Fe at (0.000, 0.500, 0.000), Fe at (0.246, 0.000, 0.247), Fe at (0.250, 0.250, 0.000), Fe at (0.250, 0.250, 0.500), Si at (0.000, 0.000, 0.500) and W at (0.000, 0.500, 0.500).

***

(2)
FeSiW2: optimized geometry, PBE.

The offset from the most stable computed form comes out at 62.6 meV per atom.

The space group is P4mm (No. 99) and the conventional cell measures 3.115, 3.115 and 5.715 Å, with angles of 90.00, 90.00 and 90.00 degrees. The inequivalent atoms are Fe at (0.000, 0.000, 0.000), Si at (0.500, 0.500, 0.232), W at (0.000, 0.000, 0.477) and W at (0.500, 0.500, 0.762).

***

(3)
FeSiW2: optimized geometry, PBE.

The offset from the most stable computed form comes out at 106.8 meV per atom.

The space group is Fm-3m (No. 225) and the conventional cell measures 6.059, 6.059 and 6.059 Å, with angles of 90.00, 90.00 and 90.00 degrees. The inequivalent atoms are Fe at (0.000, 0.000, 0.000), Si at (0.000, 0.000, 0.500) and W at (0.250, 0.250, 0.250).

***

(4)
Fe3SiW2: optimized geometry, PBE.

Its total DFT energy (no corrections) is -116.3 eV/cell.

The space group is P6_3/mmc (No. 194) and the conventional cell measures 4.7442, 4.7442 and 7.6861 Å, with angles of 90.00, 90.00 and 120.00 degrees. The inequivalent atoms are Fe at (0.1707, 0.3414, 0.2500), Si at (0.0000, 0.0000, 0.0000) and W at (0.3333, 0.6667, 0.5649).

***

(5)
FeSiW2: optimized geometry, PBE.

The offset from the most stable computed form comes out at 180.5 meV per atom.

The space group is Cmmm (No. 65) and the conventional cell measures 3.284, 4.338 and 7.984 Å, with angles of 90.00, 90.00 and 90.00 degrees. The inequivalent atoms are Fe at (0.000, 0.000, 0.000), Si at (0.000, 0.000, 0.500) and W at (0.000, 0.500, 0.252).

***

(6)
FeSiW2: optimized geometry, PBE.

The offset from the most stable computed form comes out at 7.1 meV per atom.

The space group is Pm (No. 6) and the conventional cell measures 2.755, 3.929 and 5.263 Å, with angles of 90.00, 105.10 and 90.00 degrees. The inequivalent atoms are Fe at (0.000, 0.000, 0.000), Si at (0.125, 0.500, 0.253), W at (0.392, 0.500, 0.788) and W at (0.732, 0.000, 0.468).

***

(7)
FeSi2W: optimized geometry, PBE.

The offset from the most stable computed form comes out at 206.4 meV per atom.

The space group is Fm-3m (No. 225) and the conventional cell measures 5.897, 5.897 and 5.897 Å, with angles of 90.00, 90.00 and 90.00 degrees. The inequivalent atoms are Fe at (0.000, 0.000, 0.000), Si at (0.250, 0.250, 0.250) and W at (0.000, 0.000, 0.500).

***

(8)
FeSi2W: optimized geometry, PBE.

The offset from the most stable computed form comes out at 219.0 meV per atom.

The space group is Pm (No. 6) and the conventional cell measures 2.744, 4.134 and 4.651 Å, with angles of 90.00, 90.05 and 90.00 degrees. The inequivalent atoms are Fe at (0.000, 0.000, 0.000), Si at (0.003, 0.000, 0.492), Si at (0.999, 0.500, 0.760) and W at (0.500, 0.500, 0.246).

***

(9)
FeSiW2: optimized geometry, PBE.

The offset from the most stable computed form comes out at 701.5 meV per atom.

The space group is I-42d (No. 122) and the conventional cell measures 3.689, 3.689 and 18.024 Å, with angles of 90.00, 90.00 and 90.00 degrees. The inequivalent atoms are Fe at (0.000, 0.000, 0.000), Si at (0.000, 0.000, 0.500) and W at (0.241, 0.250, 0.625).

***

(10)
FeSi2W: optimized geometry, PBE.

The offset from the most stable computed form comes out at 518.6 meV per atom.

The space group is I-42d (No. 122) and the conventional cell measures 3.687, 3.687 and 17.019 Å, with angles of 90.00, 90.00 and 90.00 degrees. The inequivalent atoms are Fe at (0.000, 0.000, 0.000), Si at (0.227, 0.250, 0.125) and W at (0.000, 0.000, 0.500).

***

(11)
FeSi2W: optimized geometry, PBE.

The offset from the most stable computed form comes out at 110.9 meV per atom.

The space group is P4/mmm (No. 123) and the conventional cell measures 2.883, 2.883 and 5.996 Å, with angles of 90.00, 90.00 and 90.00 degrees. The inequivalent atoms are Fe at (0.000, 0.000, 0.000), Si at (0.500, 0.500, 0.221) and W at (0.000, 0.000, 0.500).

***

(12)
FeSi2W: optimized geometry, PBE.

The offset from the most stable computed form comes out at 0.0 meV per atom.

The space group is P4mm (No. 99) and the conventional cell measures 3.124, 3.124 and 5.323 Å, with angles of 90.00, 90.00 and 90.00 degrees. The inequivalent atoms are Fe at (0.000, 0.000, 0.000), Si at (0.000, 0.000, 0.456), Si at (0.500, 0.500, 0.194) and W at (0.500, 0.500, 0.690).

***

| no. | magnetization (μB/atom) |
| --- | --- |
| 1 | 1.776 |
| 2 | 0.150 |
| 3 | 0.477 |
| 4 | 0.797 |
| 5 | 0.448 |
| 6 | 0.000 |
| 7 | 0.285 |
| 8 | 0.000 |
| 9 | 0.000 |
| 10 | 0.441 |
| 11 | 0.008 |
| 12 | 0.352 |